# BaY2Cr (GGA-PBE, relaxed)
data_BaY2Cr
_chemical_formula_sum 'Ba1 Y2 Cr1'
_symmetry_space_group_name_H-M 'P 4 m m'
_symmetry_Int_Tables_number 99
_symmetry_space_group_name_Hall 'P 4 -2'
_cell_length_a 3.9309
_cell_length_b 3.9309
_cell_length_c 8.8678
_cell_angle_alpha 90.00
_cell_angle_beta 90.00
_cell_angle_gamma 90.00
loop_
_atom_site_label
_atom_site_type_symbol
_atom_site_fract_x
_atom_site_fract_y
_atom_site_fract_z
_atom_site_occupancy
Ba1 Ba 0.0000 0.0000 0.0000 1
Y1 Y 0.0000 0.0000 0.4173 1
Y2 Y 0.5000 0.5000 0.6573 1
Cr1 Cr 0.5000 0.5000 0.2737 1
# E above lowest polymorph, kJ/mol of formula units: 37.3
# E_tot, eV/cell: -22.879
# Energy of formation from the pure elements, eV/atom: 0.3989